(1)
CaMnCo (PBE, optimized geometry); energy above the most stable polymorph in this dataset = 13.1 kJ/mol of atoms; DFT formation energy = 330.7 meV per atom
1.0
5.428 0.000 0.000
0.000 3.989 0.000
0.000 0.000 11.193
Ca Mn Co
4 4 4
Direct
0.119 0.250 0.126
0.381 0.750 0.626
0.619 0.250 0.374
0.881 0.750 0.874
0.128 0.750 0.345
0.372 0.250 0.845
0.628 0.750 0.155
0.872 0.250 0.655
0.100 0.250 0.465
0.400 0.750 0.965
0.600 0.250 0.035
0.900 0.750 0.535

=====

(2)
Tb2NdHg (PBE, optimized geometry); energy above the most stable polymorph in this dataset = 6.0 kJ/mol of atoms; DFT formation energy = -170.5 meV per atom
1.0
1.827 1.055 10.679
-1.827 1.055 10.679
0.000 -2.110 10.679
Tb Nd Hg
2 1 1
Direct
0.242 0.242 0.242
0.758 0.758 0.758
0.000 0.000 0.000
0.500 0.500 0.500

=====

(3)
ScTl2PtS (PBE, optimized geometry); formation energy from raw total energies = 0.258 eV/atom
1.0
5.600 0.000 0.000
0.000 5.600 0.000
0.000 0.000 4.440
Sc Tl Pt S
1 2 1 1
Direct
0.000 0.000 0.000
0.000 0.500 0.500
0.500 0.000 0.500
0.500 0.500 0.500
0.500 0.500 0.000

=====

(4)
Be2RePb (PBE, optimized geometry); DFT formation energy = 737.0 meV per atom
1.0
-1.699 2.131 4.044
1.699 -2.131 4.044
1.699 2.131 -4.044
Be Re Pb
2 1 1
Direct
0.233 0.233 0.000
0.767 0.767 0.000
0.000 0.500 0.500
0.500 0.000 0.500

=====

(5)
Ho12Bi6Os (PBE, optimized geometry); DFT formation energy = -435.7 meV per atom
1.0
6.612 3.818 4.059
-6.612 3.818 4.059
0.000 -7.635 4.059
Ho Bi Os
12 6 1
Direct
0.003 0.941 0.689
0.059 0.311 0.997
0.203 0.540 0.412
0.311 0.997 0.059
0.412 0.203 0.540
0.460 0.588 0.797
0.540 0.412 0.203
0.588 0.797 0.460
0.689 0.003 0.941
0.797 0.460 0.588
0.941 0.689 0.003
0.997 0.059 0.311
0.117 0.321 0.651
0.321 0.651 0.117
0.349 0.883 0.679
0.651 0.117 0.321
0.679 0.349 0.883
0.883 0.679 0.349
0.000 0.000 0.000

=====

(6)
AuICl6 (PBE, optimized geometry); formation energy from raw total energies = -0.184 eV/atom
1.0
5.710 0.000 0.000
-2.534 6.742 0.000
-2.646 -2.343 7.141
Au I Cl
1 1 6
Direct
0.000 0.000 0.000
0.500 0.500 0.500
0.065 0.322 0.175
0.206 0.339 0.654
0.373 0.996 0.229
0.627 0.004 0.771
0.794 0.661 0.346
0.935 0.678 0.825

=====

(7)
H2S (PBE, optimized geometry); energy above the most stable polymorph in this dataset = 0.0 kJ/mol of atoms
1.0
4.388 0.000 0.000
0.000 13.366 0.000
0.000 0.000 6.791
H S
16 8
Direct
0.199 0.065 0.250
0.199 0.435 0.750
0.203 0.213 0.250
0.203 0.287 0.750
0.283 0.629 0.605
0.283 0.629 0.895
0.283 0.871 0.105
0.283 0.871 0.395
0.717 0.129 0.605
0.717 0.129 0.895
0.717 0.371 0.105
0.717 0.371 0.395
0.797 0.713 0.250
0.797 0.787 0.750
0.801 0.565 0.250
0.801 0.935 0.750
0.011 0.639 0.250
0.011 0.861 0.750
0.487 0.610 0.750
0.487 0.890 0.250
0.513 0.110 0.750
0.513 0.390 0.250
0.989 0.139 0.250
0.989 0.361 0.750

=====

(8)
LiAgAu4 (PBE, optimized geometry); energy above the most stable polymorph in this dataset = 0.0 kJ/mol of atoms; DFT formation energy = -228.3 meV per atom
1.0
4.680 -2.063 0.000
4.680 2.063 0.000
-1.988 0.000 5.385
Li Ag Au
1 1 4
Direct
0.000 0.000 0.000
0.000 0.000 0.500
0.333 0.333 0.165
0.339 0.339 0.675
0.661 0.661 0.325
0.667 0.667 0.835

=====

(9)
Ti3CoCl (PBE, optimized geometry); formation energy from raw total energies = 0.290 eV/atom; energy above the most stable polymorph in this dataset = 0.6 kJ/mol of atoms
1.0
4.371 0.000 0.000
0.000 4.371 0.000
0.000 0.000 4.371
Ti Co Cl
3 1 1
Direct
0.000 0.000 0.500
0.000 0.500 0.000
0.500 0.000 0.000
0.500 0.500 0.500
0.000 0.000 0.000

=====

(10)
TbCe2Tc2 (PBE, optimized geometry); energy above the most stable polymorph in this dataset = 2.0 kJ/mol of atoms; DFT formation energy = -44.2 meV per atom
1.0
4.394 0.000 0.000
-1.456 6.556 0.000
-0.800 -0.313 8.389
Tb Ce Tc
2 4 4
Direct
0.194 0.042 0.327
0.806 0.958 0.673
0.283 0.719 0.927
0.440 0.607 0.326
0.560 0.393 0.674
0.717 0.281 0.073
0.179 0.207 0.957
0.190 0.676 0.549
0.810 0.324 0.451
0.821 0.793 0.043

=====

(11)
SrCaTe4 (PBE, optimized geometry); formation energy from raw total energies = -0.334 eV/atom; energy above the most stable polymorph in this dataset = 72.7 kJ/mol of atoms
1.0
0.000 4.675 4.675
4.675 0.000 4.675
4.675 4.675 0.000
Sr Ca Te
1 1 4
Direct
0.000 0.000 0.000
0.250 0.250 0.250
0.126 0.625 0.625
0.625 0.126 0.625
0.625 0.625 0.126
0.625 0.625 0.625

=====

(12)
HfGe2F8 (PBE, optimized geometry); formation energy from raw total energies = -2.871 eV/atom
1.0
4.876 -3.689 0.000
4.876 3.689 0.000
-1.527 0.000 5.082
Hf Ge F
1 2 8
Direct
0.000 0.000 0.000
0.353 0.353 0.737
0.647 0.647 0.263
0.074 0.685 0.776
0.133 0.133 0.770
0.315 0.926 0.224
0.400 0.400 0.110
0.600 0.600 0.890
0.685 0.074 0.776
0.867 0.867 0.230
0.926 0.315 0.224

=====

(13)
AcBe2P2 (PBE, optimized geometry); DFT formation energy = -701.5 meV per atom
1.0
-1.868 1.868 6.061
1.868 -1.868 6.061
1.868 1.868 -6.061
Ac Be P
1 2 2
Direct
0.000 0.000 0.000
0.250 0.750 0.500
0.750 0.250 0.500
0.352 0.352 0.000
0.648 0.648 0.000

=====

(14)
BaTaSb (PBE, optimized geometry); formation energy from raw total energies = 1.429 eV/atom; energy above the most stable polymorph in this dataset = 119.8 kJ/mol of atoms
1.0
0.000 3.848 3.848
3.848 0.000 3.848
3.848 3.848 0.000
Ba Ta Sb
1 1 1
Direct
0.000 0.000 0.000
0.750 0.750 0.750
0.250 0.250 0.250

=====

(15)
CsGaAg (PBE, optimized geometry); energy above the most stable polymorph in this dataset = 6.8 kJ/mol of atoms; DFT formation energy = 39.2 meV per atom
1.0
4.682 0.000 0.000
0.000 11.460 0.000
-2.323 0.000 4.074
Cs Ga Ag
2 2 2
Direct
0.000 0.243 0.000
0.000 0.757 0.000
0.336 0.500 0.668
0.666 0.500 0.331
0.332 0.000 0.667
0.667 0.000 0.333

=====

(16)
PmNi5As2 (PBE, optimized geometry); DFT formation energy = -488.7 meV per atom
1.0
-1.913 3.314 4.588
1.913 -3.314 4.588
1.913 3.314 -4.588
Pm Ni As
1 5 2
Direct
0.000 0.000 0.000
0.172 0.357 0.815
0.457 0.643 0.815
0.500 0.000 0.500
0.543 0.357 0.185
0.828 0.643 0.185
0.252 0.752 0.500
0.748 0.248 0.500

=====

(17)
Li4GeIr (PBE, optimized geometry); energy above the most stable polymorph in this dataset = 0.0 kJ/mol of atoms; DFT formation energy = -326.8 meV per atom
1.0
2.456 -7.678 0.000
2.456 7.678 0.000
0.000 0.000 4.399
Li Ge Ir
8 2 2
Direct
0.036 0.454 0.250
0.195 0.279 0.250
0.279 0.195 0.750
0.454 0.036 0.750
0.546 0.964 0.250
0.721 0.805 0.250
0.805 0.721 0.750
0.964 0.546 0.750
0.374 0.626 0.750
0.626 0.374 0.250
0.124 0.876 0.250
0.876 0.124 0.750

=====

(18)
PaTiNbMo (PBE, optimized geometry); energy above the most stable polymorph in this dataset = 0.0 kJ/mol of atoms; DFT formation energy = -70.4 meV per atom
1.0
0.000 3.333 3.333
3.333 0.000 3.333
3.333 3.333 0.000
Pa Ti Nb Mo
1 1 1 1
Direct
0.000 0.000 0.000
0.500 0.500 0.500
0.750 0.750 0.750
0.250 0.250 0.250

=====

(19)
Pm5Pr3Tm3 (PBE, optimized geometry); energy above the most stable polymorph in this dataset = 0.0 kJ/mol of atoms; DFT formation energy = 326.5 meV per atom
1.0
11.371 0.000 0.000
-5.686 9.848 0.000
0.000 0.000 3.466
Pm Pr Tm
5 3 3
Direct
0.000 0.336 0.000
0.333 0.667 0.000
0.336 0.000 0.000
0.664 0.664 0.000
0.667 0.333 0.000
0.000 0.597 0.500
0.403 0.403 0.500
0.597 0.000 0.500
0.000 0.842 0.000
0.158 0.158 0.000
0.842 0.000 0.000

=====

(20)
TbPrThSc (PBE, optimized geometry); energy above the most stable polymorph in this dataset = 7.6 kJ/mol of atoms; DFT formation energy = 122.0 meV per atom
1.0
0.000 3.962 3.962
3.962 0.000 3.962
3.962 3.962 0.000
Tb Pr Th Sc
1 1 1 1
Direct
0.000 0.000 0.000
0.750 0.750 0.750
0.250 0.250 0.250
0.500 0.500 0.500